#one
## AcCeIr (PBE)

Data for a relaxed AcCeIr crystal.

symmetry: P2_1/c (14)

Structure (POSCAR):
```
AcCeIr
1.0
7.2410 0.0000 0.0000
0.0000 6.5486 -2.1358
0.0000 1.6062 7.9582
Ac Ir Ce
4 4 4
direct
0.9161 0.2638 0.6120
0.4161 0.2362 0.8880
0.5839 0.7638 0.1120
0.0839 0.7362 0.3880
0.2674 0.5113 0.6482
0.7674 0.9887 0.8518
0.7326 0.4887 0.3518
0.2326 0.0113 0.1482
0.0841 0.7633 0.8854
0.9159 0.2367 0.1146
0.4159 0.2633 0.3854
0.5841 0.7367 0.6146
```



#two
## AcCeIr (PBE)

Data for a relaxed AcCeIr crystal.

symmetry: P3m1 (156)

Structure (POSCAR):
```
AcCeIr
1.0
-6.0927 2.1553 1.1295
-1.4197 -2.3000 -3.2693
0.1226 -1.6910 3.8884
Ir Ac Ce
1 1 1
direct
0.0189 0.0000 0.0000
0.7550 0.6667 0.3333
0.2262 0.3333 0.6667
```



#three
## AcCeIr (PBE)

Data for a relaxed AcCeIr crystal.

symmetry: I4mm (107)

Structure (POSCAR):
```
AcCeIr
1.0
3.6961 0.0000 0.0000
0.0000 3.6961 0.0000
-1.8481 -1.8481 6.1467
Ac Ce Ir
1 1 1
direct
0.3147 0.3147 0.6293
0.0415 0.0415 0.0831
0.6438 0.6438 0.2876
```



#four
## AcCeIr (PBE)

Data for a relaxed AcCeIr crystal.

symmetry: F-43m (216)

Structure (POSCAR):
```
AcCeIr
1.0
5.0566 0.0000 0.0000
2.5283 4.3792 0.0000
2.5283 1.4597 4.1287
Ir Ac Ce
1 1 1
direct
0.2500 0.2500 0.2500
0.0000 0.0000 0.0000
0.5000 0.5000 0.5000
```



Stability check: which of them is most stable? #one.



#one
## AcLaCe2 (PBE)

Data for a relaxed AcLaCe2 crystal.

symmetry: P4/mmm (123)

Structure (POSCAR):
```
AcLaCe2
1.0
3.6393 0.0000 0.0000
0.0000 3.6393 0.0000
0.0000 0.0000 10.3078
La Ce Ac
1 2 1
direct
0.5000 0.5000 0.0000
0.0000 0.0000 0.2407
0.0000 0.0000 0.7593
0.5000 0.5000 0.5000
```



#two
## AcLaCe2 (PBE)

Data for a relaxed AcLaCe2 crystal.

symmetry: P4/mmm (123)

Structure (POSCAR):
```
AcLaCe2
1.0
-2.9206 1.5962 3.9317
0.3291 -4.6420 2.1291
4.2027 1.4583 2.5298
Ce Ac La
2 1 1
direct
0.0000 0.0000 0.5000
0.0000 0.5000 0.0000
0.5000 0.5000 0.5000
0.5000 0.0000 0.0000
```



Stability check: which of them is most stable? #two.



#one
## AcLaCe2 (PBE)

Data for a relaxed AcLaCe2 crystal.

symmetry: Fm-3m (225)

Structure (POSCAR):
```
AcLaCe2
1.0
5.8892 0.0000 0.0000
2.9446 5.1002 0.0000
2.9446 1.7001 4.8085
Ac Ce La
1 2 1
direct
0.0000 0.0000 0.0000
0.7500 0.7500 0.7500
0.2500 0.2500 0.2500
0.5000 0.5000 0.5000
```



#two
## AcLaCe2 (PBE)

Data for a relaxed AcLaCe2 crystal.

symmetry: R3m (160)

Structure (POSCAR):
```
AcLaCe2
1.0
-2.7840 0.0213 -2.3952
0.6171 -0.7602 -3.5397
-2.6524 -11.7804 0.1625
Ce Ac La
2 1 1
direct
0.2488 0.2488 0.2537
0.0842 0.0842 0.7473
0.6675 0.6675 0.9974
0.4994 0.4994 0.5017
```



Stability check: which of them is most stable? #two.



#one
## AcLaCe (PBE)

Data for a relaxed AcLaCe crystal.

symmetry: I4mm (107)

Structure (POSCAR):
```
AcLaCe
1.0
-1.3733 -1.7515 -2.9518
3.4297 -0.5763 -1.2537
-0.7416 -5.6974 6.0407
La Ce Ac
1 1 1
direct
0.3195 0.3195 0.6390
0.6708 0.6708 0.3415
0.0097 0.0097 0.0194
```



#two
## AcLaCe (PBE)

Data for a relaxed AcLaCe crystal.

symmetry: P-6m2 (187)

Structure (POSCAR):
```
AcLaCe
1.0
3.6489 0.0000 0.0000
0.0000 5.9712 0.0000
0.0000 -2.9856 5.1712
Ac Ce La
1 1 1
direct
0.1662 0.0000 0.0000
0.1671 0.3333 0.6667
0.6667 0.6667 0.3333
```



Stability check: which of them is most stable? #one.



#one
## Ac2CeLu (PBE)

Data for a relaxed Ac2CeLu crystal.

symmetry: R-3m (166)

Structure (POSCAR):
```
Ac2CeLu
1.0
-2.4829 2.5809 -0.8127
-2.8700 -0.8218 -2.1387
-8.6491 -2.7172 9.4975
Lu Ac Ce
1 2 1
direct
0.5000 0.5000 0.5000
0.9108 0.9108 0.2677
0.0892 0.0892 0.7323
0.0000 0.0000 0.0000
```



#two
## Ac2CeLu (PBE)

Data for a relaxed Ac2CeLu crystal.

symmetry: Fm-3m (225)

Structure (POSCAR):
```
Ac2CeLu
1.0
5.9744 0.0000 0.0000
2.9872 5.1740 0.0000
2.9872 1.7247 4.8781
Ce Ac Lu
1 2 1
direct
0.5000 0.5000 0.5000
0.7500 0.7500 0.7500
0.2500 0.2500 0.2500
0.0000 0.0000 0.0000
```



#three
## Ac2CeLu (PBE)

Data for a relaxed Ac2CeLu crystal.

symmetry: P4/mmm (123)

Structure (POSCAR):
```
Ac2CeLu
1.0
3.7859 0.0000 0.0000
0.0000 3.7859 0.0000
0.0000 0.0000 10.2632
Ac Lu Ce
2 1 1
direct
0.0000 0.0000 0.7531
0.0000 0.0000 0.2469
0.5000 0.5000 0.0000
0.5000 0.5000 0.5000
```



Stability check: which of them is most stable? #three.



#one
## AcCeN2 (PBE)

Data for a relaxed AcCeN2 crystal.

symmetry: P6_3/mmc (194)

Structure (POSCAR):
```
AcCeN2
1.0
-0.3729 1.3410 3.4075
1.4136 -3.3598 -0.5111
11.3196 4.8655 -0.6759
N Ce Ac
4 2 2
direct
0.6667 0.3333 0.6068
0.6667 0.3333 0.8932
0.3333 0.6667 0.3932
0.3333 0.6667 0.1068
0.0000 0.0000 0.5000
0.0000 0.0000 0.0000
0.3333 0.6667 0.7500
0.6667 0.3333 0.2500
```



#two
## AcCeN2 (PBE)

Data for a relaxed AcCeN2 crystal.

symmetry: R3m (160)

Structure (POSCAR):
```
AcCeN2
1.0
-2.1040 2.9705 -0.0734
-1.4920 1.2505 3.0767
3.8842 5.0318 1.9928
N Ce Ac
2 1 1
direct
0.0746 0.0746 0.7761
0.2649 0.2649 0.2054
0.6662 0.6662 0.0015
0.4944 0.4944 0.5169
```



Stability check: which of them is most stable? #one.



#one
## Ac2CeN3 (PBE)

Data for a relaxed Ac2CeN3 crystal.

symmetry: C2/c (15)

Structure (POSCAR):
```
Ac2CeN3
1.0
-0.8565 -3.3376 5.3298
-3.6200 -6.0941 -0.6192
10.6462 -6.6266 -1.4174
N Ce Ac
12 4 8
direct
0.9852 0.7223 0.0429
0.0148 0.2777 0.9571
0.4845 0.3421 0.1227
0.1734 0.3421 0.3773
0.7075 0.2777 0.5429
0.3648 0.2705 0.7500
0.0134 0.9732 0.2500
0.2925 0.7223 0.4571
0.8266 0.6579 0.6227
0.5155 0.6579 0.8773
0.9866 0.0268 0.7500
0.6352 0.7295 0.2500
0.7062 0.0258 0.6514
0.2938 0.9742 0.3486
0.2680 0.0258 0.8486
0.7320 0.9742 0.1514
0.0583 0.3805 0.1414
0.4388 0.6195 0.6414
0.9417 0.6195 0.8586
0.6303 0.2816 0.9122
0.9120 0.7184 0.4122
0.5612 0.3805 0.3586
0.0880 0.2816 0.5878
0.3697 0.7184 0.0878
```



#two
## Ac2CeN3 (PBE)

Data for a relaxed Ac2CeN3 crystal.

symmetry: Cmc2_1 (36)

Structure (POSCAR):
```
Ac2CeN3
1.0
6.2316 0.0000 0.0000
0.0000 7.2145 -0.0795
0.0000 -3.6037 6.2504
Ce N Ac
2 6 4
direct
0.5421 0.1655 0.1655
0.0421 0.8345 0.8345
0.9578 0.8348 0.5182
0.4150 0.8584 0.8584
0.9150 0.1416 0.1416
0.9578 0.5182 0.8348
0.4578 0.4818 0.1652
0.4578 0.1652 0.4818
0.5426 0.5092 0.8350
0.0426 0.4908 0.1650
0.5426 0.8350 0.5092
0.0426 0.1650 0.4908
```



Stability check: which of them is most stable? #two.



#one
## NaAc2Ce (PBE)

Data for a relaxed NaAc2Ce crystal.

symmetry: R-3m (166)

Structure (POSCAR):
```
NaAc2Ce
1.0
-2.5642 2.1213 1.7883
-3.0756 1.1967 -1.8389
-8.3922 -9.9062 3.7083
Ce Ac Na
1 2 1
direct
0.5000 0.5000 0.5000
0.9076 0.9076 0.2771
0.0924 0.0924 0.7229
0.0000 0.0000 0.0000
```



#two
## NaAc2Ce (PBE)

Data for a relaxed NaAc2Ce crystal.

symmetry: P4/mmm (123)

Structure (POSCAR):
```
NaAc2Ce
1.0
-0.9639 2.5450 -2.6319
-3.3769 -1.6694 -0.3775
-4.0939 6.5170 7.8013
Ac Na Ce
2 1 1
direct
0.0000 0.0000 0.7717
0.0000 0.0000 0.2283
0.5000 0.5000 0.5000
0.5000 0.5000 0.0000
```



Stability check: which of them is most stable? #two.



#one
## Ac2CeNd (PBE)

Data for a relaxed Ac2CeNd crystal.

symmetry: R3m (160)

Structure (POSCAR):
```
Ac2CeNd
1.0
-2.2704 1.4990 -2.6843
-3.7131 -0.9016 -0.0838
-4.4604 9.6688 6.4509
Ce Ac Nd
1 2 1
direct
0.4995 0.4995 0.5014
0.2484 0.2484 0.2548
0.0845 0.0845 0.7464
0.6675 0.6675 0.9974
```



#two
## Ac2CeNd (PBE)

Data for a relaxed Ac2CeNd crystal.

symmetry: P4/mmm (123)

Structure (POSCAR):
```
Ac2CeNd
1.0
3.7984 0.0000 0.0000
0.0000 3.7984 0.0000
0.0000 0.0000 10.5926
Ac Nd Ce
2 1 1
direct
0.0000 0.0000 0.7562
0.0000 0.0000 0.2438
0.5000 0.5000 0.5000
0.5000 0.5000 0.0000
```



Stability check: which of them is most stable? #two.



#one
## Ac2CeNd (PBE)

Data for a relaxed Ac2CeNd crystal.

symmetry: R-3m (166)

Structure (POSCAR):
```
Ac2CeNd
1.0
-0.4906 1.7303 3.2644
-3.2881 1.5580 0.8077
-5.3055 -10.2433 6.7598
Ce Nd Ac
1 1 2
direct
0.0000 0.0000 0.0000
0.5000 0.5000 0.5000
0.0879 0.0879 0.7364
0.9121 0.9121 0.2636
```



#two
## Ac2CeNd (PBE)

Data for a relaxed Ac2CeNd crystal.

symmetry: P4/mmm (123)

Structure (POSCAR):
```
Ac2CeNd
1.0
5.2683 0.0000 0.0000
0.0000 5.4047 0.0000
0.0000 0.0000 5.4047
Ac Nd Ce
2 1 1
direct
0.0000 0.5000 0.0000
0.0000 0.0000 0.5000
0.5000 0.0000 0.0000
0.5000 0.5000 0.5000
```



Stability check: which of them is most stable? #two.



#one
## AcCe2Ni (PBE)

Data for a relaxed AcCe2Ni crystal.

symmetry: R-3m (166)

Structure (POSCAR):
```
AcCe2Ni
1.0
3.7314 0.0000 0.0000
1.8657 3.2315 0.0000
1.8657 1.0772 10.3886
Ni Ce Ac
1 2 1
direct
0.5000 0.5000 0.5000
0.8875 0.8875 0.3376
0.1125 0.1125 0.6624
0.0000 0.0000 0.0000
```



#two
## AcCe2Ni (PBE)

Data for a relaxed AcCe2Ni crystal.

symmetry: P4/mmm (123)

Structure (POSCAR):
```
AcCe2Ni
1.0
-2.0583 -2.6166 1.3727
2.7831 -1.1548 1.9719
-2.3502 5.1803 6.3506
Ce Ni Ac
2 1 1
direct
0.0000 0.0000 0.8305
0.0000 0.0000 0.1695
0.5000 0.5000 0.0000
0.5000 0.5000 0.5000
```



Stability check: which of them is most stable? #two.



#one
## AcCe2O (PBE)

Data for a relaxed AcCe2O crystal.

symmetry: P4/mmm (123)

Structure (POSCAR):
```
AcCe2O
1.0
-2.3717 2.2731 -0.4040
-2.0001 -1.7336 1.9873
3.1092 4.4975 7.0524
Ce O Ac
2 1 1
direct
0.0000 0.0000 0.1647
0.0000 0.0000 0.8353
0.5000 0.5000 0.0000
0.5000 0.5000 0.5000
```



#two
## AcCe2O (PBE)

Data for a relaxed AcCe2O crystal.

symmetry: R-3m (166)

Structure (POSCAR):
```
AcCe2O
1.0
-2.6999 -2.2648 0.9371
-1.0107 -2.6696 -2.2691
5.2552 -7.6550 3.7352
O Ce Ac
1 2 1
direct
0.5000 0.5000 0.5000
0.8785 0.8785 0.3645
0.1215 0.1215 0.6355
0.0000 0.0000 0.0000
```



Stability check: which of them is most stable? #two.